## SrCdCoNi2 (PBEsol)

Data for an optimized crystal structure of SrCdCoNi2.

* M_tot: 1.5 μB/f.u.
* formation energy: 0.926 eV per atom

POSCAR file:
```
SrCdCoNi2
1.0
-1.917 1.586 4.020
-0.195 -4.425 1.652
4.323 0.505 1.862
Sr Co Ni Cd
1 1 2 1
direct
0.500 0.500 0.500
0.000 0.000 0.500
0.000 0.500 0.000
0.500 0.000 0.000
0.000 0.000 0.000
```

## CdCo2O4 (PBEsol)

Data for an optimized crystal structure of CdCo2O4.

* M_tot: 0.0 μB/f.u.
* E_form (uncorrected): -1035 meV/atom

POSCAR file:
```
CdCo2O4
1.0
-3.442 0.187 -3.430
-3.809 -1.767 3.726
-2.122 10.257 2.691
Cd Co O
4 8 16
direct
0.960 0.250 0.250
0.634 0.250 0.750
0.366 0.750 0.250
0.040 0.750 0.750
0.996 0.750 0.005
0.004 0.250 0.995
0.996 0.750 0.495
0.004 0.250 0.505
0.500 0.000 0.000
0.500 0.000 0.500
0.500 0.500 0.000
0.500 0.500 0.500
0.832 0.002 0.905
0.833 0.002 0.595
0.833 0.498 0.595
0.833 0.498 0.905
0.658 0.750 0.091
0.659 0.750 0.409
0.674 0.250 0.087
0.674 0.250 0.413
0.327 0.750 0.587
0.326 0.750 0.913
0.342 0.250 0.591
0.341 0.250 0.909
0.167 0.998 0.095
0.167 0.998 0.405
0.167 0.502 0.095
0.168 0.502 0.405
```